[1]
The following is a PBEsol calculation of crystalline MnAsF2 at its relaxed geometry, from Alexandria via LeMat-Bulk.

Cell lengths 3.0396, 3.0396, 27.4198 Å; angles 90.00, 90.00, 120.00 degrees
With the nearest neighbours (Å) after each atom.
Space group R-3m (No. 166, hexagonal axes)
Asymmetric unit:
Mn 0.0000 0.0000 0.0000 [3 per cell]  6 F 2.08
As 0.0000 0.0000 0.5000 [3 per cell]  6 As 3.04
F 0.0000 0.0000 0.3739 [6 per cell]  3 Mn 2.08

Uncorrected formation energy in eV per atom: -1.246



[2]
The following is a PBEsol calculation of crystalline CdSb2Rh at its relaxed geometry, from Alexandria via LeMat-Bulk.

Cell lengths 3.8426, 3.8426, 21.2354 Å; angles 90.00, 90.00, 120.00 degrees
With the nearest neighbours (Å) after each atom.
Space group R-3m (No. 166, hexagonal axes)
Asymmetric unit:
Cd 0.0000 0.0000 0.0000 [3 per cell]  6 Sb 3.07
Sb 0.0000 0.0000 0.2337 [6 per cell]  3 Rh 2.64
Rh 0.0000 0.0000 0.5000 [3 per cell]  6 Sb 2.64

Uncorrected formation energy in eV per atom: -0.150



[3]
The following is a PBEsol calculation of crystalline HfZr2HN at its relaxed geometry, from Alexandria via LeMat-Bulk.

Cell lengths 5.2201, 5.2201, 4.0237 Å; angles 90.00, 90.00, 90.00 degrees
With the nearest neighbours (Å) after each atom.
Space group P4/mmm (No. 123)
Asymmetric unit:
Hf 0.0000 0.0000 0.0000 [1 per cell]  2 N 2.01
Zr 0.0000 0.5000 0.0000 [2 per cell]  2 Hf 2.61
H 0.5000 0.5000 0.5000 [1 per cell]  8 Zr 3.30
N 0.0000 0.0000 0.5000 [1 per cell]  2 Hf 2.01

E in eV/atom: -6.73



[4]
The following is a PBEsol calculation of crystalline LaMg2 at its relaxed geometry, from Alexandria via LeMat-Bulk.

Cell lengths 8.6753, 8.6753, 8.6753 Å; angles 90.00, 90.00, 90.00 degrees
With the nearest neighbours (Å) after each atom.
Space group Fd-3m (No. 227, origin choice 2)
Asymmetric unit:
La 0.1250 0.1250 0.1250 [8 per cell]  12 Mg 3.60, 4 La 3.76
Mg 0.0000 0.0000 0.5000 [16 per cell]  6 Mg 3.07

DFT formation energy in eV per atom: -0.11



[5]
The following is a PBEsol calculation of crystalline PtW3 at its relaxed geometry, from Alexandria via LeMat-Bulk.

Cell lengths 3.9471, 3.9471, 3.9471 Å; angles 90.00, 90.00, 90.00 degrees
With the nearest neighbours (Å) after each atom.
Space group Pm-3m (No. 221)
Asymmetric unit:
Pt 0.0000 0.0000 0.0000 [1 per cell]  12 W 2.79
W 0.0000 0.5000 0.5000 [3 per cell]  8 W 2.79, 4 Pt 2.79

DFT formation energy in eV per atom: -0.02



[6]
The following is a PBEsol calculation of crystalline Sc2TiAgSn at its relaxed geometry, from Alexandria via LeMat-Bulk.

Cell lengths 5.0028, 5.0028, 4.8419 Å; angles 90.00, 90.00, 90.00 degrees
With the nearest neighbours (Å) after each atom.
Space group P4/mmm (No. 123)
Asymmetric unit:
Sc 0.0000 0.5000 0.0000 [2 per cell]  2 Ag 2.50
Ti 0.0000 0.0000 0.5000 [1 per cell]  2 Ag 2.42
Ag 0.0000 0.0000 0.0000 [1 per cell]  2 Ti 2.42, 4 Sc 2.50
Sn 0.5000 0.5000 0.5000 [1 per cell]  8 Sc 3.48, 4 Ti 3.54

DFT formation energy in eV per atom: 0.32



[7]
The following is a PBEsol calculation of crystalline RhPb3 at its relaxed geometry, from Alexandria via LeMat-Bulk.

Cell lengths 3.3435, 3.3435, 8.4507 Å; angles 90.00, 90.00, 90.00 degrees
With the nearest neighbours (Å) after each atom.
Space group P4/mmm (No. 123)
Asymmetric unit:
Rh 0.0000 0.0000 0.0000 [1 per cell]  8 Pb 2.89
Pb 0.0000 0.0000 0.5000 [1 per cell]  12 Pb 3.34-3.49
Pb 0.5000 0.5000 0.1963 [2 per cell]  4 Rh 2.89

DFT formation energy in eV per atom: 0.05



[8]
The following is a PBEsol calculation of crystalline Al2Ag at its relaxed geometry, from Alexandria via LeMat-Bulk.

Cell lengths 2.8574, 2.8574, 11.8876 Å; angles 90.00, 90.00, 90.00 degrees
With the nearest neighbours (Å) after each atom.
Space group P4/mmm (No. 123)
Asymmetric unit:
Al 0.0000 0.0000 0.0000 [1 per cell]  8 Ag 2.81, 4 Al 2.86
Al 0.0000 0.0000 0.3287 [2 per cell]  4 Ag 2.81, 8 Al 2.86-2.87
Al 0.5000 0.5000 0.5000 [1 per cell]  12 Al 2.86-2.87
Ag 0.5000 0.5000 0.1640 [2 per cell]  8 Al 2.81, 4 Ag 2.86

DFT formation energy in eV per atom: -0.04



[9]
The following is a PBEsol calculation of crystalline RbGa2Ag2 at its relaxed geometry, from Alexandria via LeMat-Bulk.

Cell lengths 4.7819, 4.7819, 10.0881 Å; angles 90.00, 90.00, 90.00 degrees
With the nearest neighbours (Å) after each atom.
Space group I4/mmm (No. 139)
Asymmetric unit:
Rb 0.0000 0.0000 0.0000 [2 per cell]  8 Ag 3.48, 10 Ga 3.65-3.66
Ga 0.0000 0.0000 0.3627 [4 per cell]  4 Ag 2.65, 1 Ga 2.77
Ag 0.0000 0.5000 0.2500 [4 per cell]  4 Ga 2.65

DFT formation energy in eV per atom: 0.01



[10]
The following is a PBEsol calculation of crystalline Sc2ReP at its relaxed geometry, from Alexandria via LeMat-Bulk.

Cell lengths 3.2667, 3.2667, 22.4951 Å; angles 90.00, 90.00, 120.00 degrees
With the nearest neighbours (Å) after each atom.
Space group R-3m (No. 166, hexagonal axes)
Asymmetric unit:
Sc 0.0000 0.0000 0.2446 [6 per cell]  3 P 2.58, 3 Re 2.75
Re 0.0000 0.0000 0.0000 [3 per cell]  6 Sc 2.75
P 0.0000 0.0000 0.5000 [3 per cell]  6 Sc 2.58

DFT formation energy in eV per atom: -0.33



[11]
The following is a PBEsol calculation of crystalline Ta2Ir2Au at its relaxed geometry, from Alexandria via LeMat-Bulk.

Cell lengths 7.5562, 7.5562, 2.9057 Å; angles 90.00, 90.00, 90.00 degrees
With the nearest neighbours (Å) after each atom.
Space group P4/mbm (No. 127)
Asymmetric unit:
Ta 0.1638 0.3362 0.0000 [4 per cell]  6 Ir 2.62-2.68, 2 Ta 2.91
Ir 0.1323 0.6323 0.5000 [4 per cell]  6 Ta 2.62-2.68, 3 Ir 2.83-2.91
Au 0.0000 0.0000 0.5000 [2 per cell]  2 Au 2.91, 4 Ir 2.95, 8 Ta 3.18

DFT formation energy in eV per atom: -0.40



[12]
The following is a PBEsol calculation of crystalline Ta2InPt at its relaxed geometry, from Alexandria via LeMat-Bulk.

Cell lengths 9.9361, 2.9233, 4.8992 Å; angles 90.00, 101.79, 90.00 degrees
With the nearest neighbours (Å) after each atom.
Space group C2/m (No. 12)
Asymmetric unit:
Ta 0.2429 0.0000 0.2382 [4 per cell]  6 Ta 2.78-2.93, 3 Pt 2.86-3.02, 3 In 2.96-2.99
In 0.0000 0.0000 0.5000 [2 per cell]  4 Pt 2.85, 2 In 2.92, 6 Ta 2.96-2.99
Pt 0.0000 0.5000 0.0000 [2 per cell]  4 In 2.85, 6 Ta 2.86-3.02, 2 Pt 2.92

DFT formation energy in eV per atom: -0.12



Number 1: density of states at the Fermi level 2.60 states/eV per cell. Number 2: density of states at the Fermi level 4.06 states/eV per cell. Number 3: density of states at the Fermi level 6.09 states/eV per cell. Number 4: density of states at the Fermi level 19.36 states/eV per cell. Number 5: density of states at the Fermi level 3.36 states/eV per cell. Number 6: density of states at the Fermi level 5.81 states/eV per cell. Number 7: density of states at the Fermi level 4.05 states/eV per cell. Number 8: density of states at the Fermi level 1.82 states/eV per cell. Number 9: density of states at the Fermi level 3.28 states/eV per cell. Number 10: density of states at the Fermi level 6.99 states/eV per cell. Number 11: density of states at the Fermi level 5.98 states/eV per cell. Number 12: density of states at the Fermi level 6.77 states/eV per cell.